Material: AcPr2Pd
Method: DFT, PBE
State: optimized geometry

Cell: 4.1019 4.1019 29.1926 Å, 90.00 90.00 120.00°
Space group R3m (No. 160, hexagonal axes)
Inequivalent atoms, fractional coordinates:
1 Ac 0.0000 0.0000 0.0000 x3
2 Pr 0.0000 0.0000 0.2269 x3
3 Pr 0.0000 0.0000 0.4415 x3
4 Pd 0.0000 0.0000 0.8345 x3


Material: Ac2Pr3Pd4
Method: DFT, PBE
State: optimized geometry

Cell: 7.8756 7.9344 8.4909 Å, 90.00 108.28 90.00°
Space group P2_1/c (No. 14)
Inequivalent atoms, fractional coordinates:
1 Ac 0.2007 0.1739 0.0961 x4
2 Pr 0.2429 0.6627 0.2513 x4
3 Pr 0.5000 0.0000 0.5000 x2
4 Pd 0.0936 0.5374 0.8789 x4
5 Pd 0.4989 0.6300 0.6214 x4


Material: Ac3Pr2Pd2
Method: DFT, PBE
State: optimized geometry

Cell: 13.1979 4.0437 9.6521 Å, 90.00 114.63 90.00°
Space group C2/m (No. 12)
Inequivalent atoms, fractional coordinates:
1 Ac 0.0000 0.0000 0.0000 x2
2 Ac 0.1156 0.0000 0.4377 x4
3 Pr 0.1674 0.5000 0.8141 x4
4 Pd 0.1672 0.5000 0.2221 x4


Material: AcPr2Pd
Method: DFT, PBE
State: optimized geometry

Cell: 7.4982 10.4620 6.7527 Å, 90.00 90.00 90.00°
Space group Pnma (No. 62)
Inequivalent atoms, fractional coordinates:
1 Ac 0.0281 0.2500 0.1449 x4
2 Pr 0.1775 0.0622 0.6660 x8
3 Pd 0.1161 0.7500 0.4137 x4


Material: Ac2Pr2Pd3
Method: DFT, PBE
State: optimized geometry

Cell: 4.3819 7.4590 7.5011 Å, 78.57 73.05 89.98°
Space group P-1 (No. 2)
Inequivalent atoms, fractional coordinates:
1 Ac 0.1220 0.3700 0.2554 x2
2 Pr 0.3621 0.1358 0.7749 x2
3 Pd 0.2516 0.7556 0.9979 x2
4 Pd 0.5000 0.5000 0.5000 x1


Material: AcPr4Pd2
Method: DFT, PBE
State: optimized geometry

Cell: 8.1834 6.8052 8.4940 Å, 90.00 112.96 90.00°
Space group P2_1/m (No. 11)
Inequivalent atoms, fractional coordinates:
1 Ac 0.1452 0.2500 0.0211 x2
2 Pr 0.0191 0.2500 0.3954 x2
3 Pr 0.2647 0.7500 0.3581 x2
4 Pr 0.4018 0.0078 0.7660 x4
5 Pd 0.2516 0.7500 0.9941 x2
6 Pd 0.3735 0.2500 0.4025 x2


Material: Ac2Pr2Pd15
Method: DFT, PBE
State: optimized geometry

Cell: 9.4239 9.4239 14.3705 Å, 90.00 90.00 120.00°
Space group R-3m (No. 166, hexagonal axes)
Inequivalent atoms, fractional coordinates:
1 Ac 0.0000 0.0000 0.1398 x6
2 Pr 0.0000 0.0000 0.3919 x6
3 Pd 0.0000 0.3070 0.5000 x18
4 Pd 0.0000 0.5000 0.0000 x9
5 Pd 0.0068 0.5034 0.6538 x18


Material: AcPrPd
Method: DFT, PBE
State: optimized geometry

Cell: 4.9297 4.9297 4.4942 Å, 90.00 90.00 120.00°
Space group P3m1 (No. 156)
Inequivalent atoms, fractional coordinates:
1 Ac 0.0000 0.0000 0.0000 x1
2 Pr 0.3333 0.6667 0.4736 x1
3 Pd 0.6667 0.3333 0.6576 x1


Material: AcPrPd
Method: DFT, PBE
State: optimized geometry

Cell: 3.7801 3.7801 13.1714 Å, 90.00 90.00 90.00°
Space group I4mm (No. 107)
Inequivalent atoms, fractional coordinates:
1 Ac 0.0000 0.0000 0.0000 x2
2 Pr 0.0000 0.0000 0.7304 x2
3 Pd 0.0000 0.0000 0.3556 x2


Material: AcPr2Pd
Method: DFT, PBE
State: optimized geometry

Cell: 5.6507 5.6507 3.8607 Å, 90.00 90.00 90.00°
Space group P4/mmm (No. 123)
Inequivalent atoms, fractional coordinates:
1 Ac 0.0000 0.0000 0.0000 x1
2 Pr 0.0000 0.5000 0.5000 x2
3 Pd 0.5000 0.5000 0.0000 x1


Material: AcPr2Pd4
Method: DFT, PBE
State: optimized geometry

Cell: 4.0538 4.4682 19.3401 Å, 90.00 90.00 90.00°
Space group Immm (No. 71)
Inequivalent atoms, fractional coordinates:
1 Ac 0.0000 0.0000 0.0000 x2
2 Pr 0.0000 0.5000 0.1854 x4
3 Pd 0.0000 0.0000 0.4303 x4
4 Pd 0.0000 0.5000 0.3426 x4


Across the entries above, calculated volume takes the values 35.45 27.99 33.45 33.11 32.78 31.11 19.39 31.53 31.37 30.82 25.02 Å³/atom, respectively.
Across the entries above, E takes the values -59.912 -99.404 -70.493 -81.855 -37.583 -72.183 -319.289 -15.103 -30.709 -18.964 -80.015 eV for the cell shown, respectively.